Record 1
This record from Alexandria via LeMat-Bulk describes a geometry-optimized CeAl2Zn2 structure. The functional is PBEsol.

Geometry as POSCAR:
```
CeAl2Zn2
1.0
-2.928 1.671 -2.413
-0.627 -3.685 -1.792
-1.935 -0.158 5.799
Zn Al Ce
2 2 1
Cartesian
-2.886 -0.906 2.874
-2.604 -1.266 -1.279
-3.320 0.253 0.642
-2.170 -2.425 0.953
0.000 0.000 0.000
```

As for the symmetry: No. 139. The calculation puts the calculated total energy at -19.7 eV per cell. For the formation enthalpy at 0 K, the calculation gives -0.36 eV/atom. The crystal system is tetragonal.

Record 2
This record from Alexandria via LeMat-Bulk describes a geometry-optimized MnPdPt2W structure. The functional is PBEsol.

Geometry as POSCAR:
```
MnPdPt2W
1.0
4.718 0.000 0.000
0.000 4.783 0.000
0.000 0.000 4.783
Mn Pd W Pt
1 1 1 2
Cartesian
2.359 2.392 2.392
2.359 0.000 0.000
0.000 0.000 0.000
0.000 0.000 2.392
0.000 2.392 0.000
```

As for the symmetry: No. 123. The calculation puts the calculated total energy at -36.7 eV per cell. For the formation enthalpy at 0 K, the calculation gives 1.35 eV/atom. The crystal system is tetragonal.

Record 3
This record from Alexandria via LeMat-Bulk describes a geometry-optimized SnS2 structure. The functional is PBEsol.

Geometry as POSCAR:
```
SnS2
1.0
-3.238 -0.737 1.516
2.986 0.222 2.090
-0.958 5.765 0.757
S Sn
2 1
Cartesian
0.672 1.342 2.087
-1.883 3.908 2.275
0.000 0.000 0.000
```

For the energy relative to the elements, uncorrected, the calculation gives -0.413 eV per atom. As for the symmetry: No. 164. The calculation puts the calculated total energy at -14.3 eV per cell. The crystal system is trigonal.

Record 4
This record from Alexandria via LeMat-Bulk describes a geometry-optimized HfReMo2Cl structure. The functional is PBEsol.

Geometry as POSCAR:
```
HfReMo2Cl
1.0
-4.330 0.426 -0.134
-0.445 -4.208 1.018
-0.031 1.039 4.282
Re Mo Hf Cl
1 2 1 1
Cartesian
-0.015 0.520 2.141
-0.223 -2.104 0.509
-2.165 0.213 -0.067
-2.403 -1.372 2.583
0.000 0.000 0.000
```

For the energy relative to the elements, uncorrected, the calculation gives 0.825 eV per atom. As for the symmetry: No. 123. The calculation puts the calculated total energy at -45.3 eV per cell. The crystal system is tetragonal.

Record 5
This record from Alexandria via LeMat-Bulk describes a geometry-optimized Sb3Pt structure. The functional is PBEsol.

Geometry as POSCAR:
```
Sb3Pt
1.0
5.348 0.000 0.000
0.000 5.348 0.000
-2.674 -2.674 3.131
Pt Sb
1 3
Cartesian
0.000 0.000 0.000
2.674 0.000 1.566
2.674 2.674 0.000
0.000 2.674 1.566
```

For the energy relative to the elements, uncorrected, the calculation gives 0.179 eV per atom. As for the symmetry: No. 139. The calculation puts the calculated total energy at -19.9 eV per cell. The crystal system is tetragonal. The polymorph energy (0 for the lowest one) comes out at 237 meV per atom.

Record 6
This record from Alexandria via LeMat-Bulk describes a geometry-optimized Na2CaV4O12 structure. The functional is PBEsol.

Geometry as POSCAR:
```
Na2CaV4O12
1.0
4.953 0.000 0.000
0.000 10.343 0.000
0.000 0.000 10.343
Na Ca V O
4 2 8 24
Cartesian
2.476 7.757 7.757
2.476 7.757 2.586
2.476 2.586 7.757
2.476 2.586 2.586
2.476 0.000 0.000
2.476 5.172 5.172
0.000 2.862 0.000
0.000 0.000 2.862
0.000 7.481 0.000
0.000 0.000 7.481
0.000 5.172 2.310
0.000 2.310 5.172
0.000 8.033 5.172
0.000 5.172 8.033
1.200 4.488 3.220
1.200 5.855 7.123
1.200 7.123 4.488
1.200 3.220 5.855
3.753 3.220 4.488
3.753 4.488 7.123
3.753 5.855 3.220
3.753 7.123 5.855
3.753 0.684 1.952
3.753 9.660 8.391
3.753 8.391 0.684
3.753 1.952 9.660
1.200 1.952 0.684
1.200 0.684 8.391
0.733 1.255 3.917
0.733 3.917 9.088
0.733 6.426 1.255
0.733 9.088 6.426
4.219 9.088 3.917
4.219 1.255 6.426
4.219 3.917 1.255
4.219 6.426 9.088
1.200 8.391 9.660
1.200 9.660 1.952
```

For the energy relative to the elements, uncorrected, the calculation gives -2.445 eV per atom. As for the symmetry: No. 125. The calculation puts the calculated total energy at -305.8 eV per cell. The crystal system is tetragonal.

Record 7
This record from Alexandria via LeMat-Bulk describes a geometry-optimized CaBe2Ir structure. The functional is PBEsol.

Geometry as POSCAR:
```
CaBe2Ir
1.0
3.881 0.000 0.000
1.940 3.361 0.000
1.940 1.120 5.076
Be Ca Ir
2 1 1
Cartesian
1.940 1.120 5.032
5.821 3.361 4.780
3.881 2.241 2.461
1.940 1.120 0.292
```

As for the symmetry: No. 160. The calculation puts the calculated total energy at -21.2 eV per cell. For the formation enthalpy at 0 K, the calculation gives -0.31 eV/atom. The crystal system is trigonal. The polymorph energy (0 for the lowest one) comes out at 15 meV per atom.

Record 8
This record from Alexandria via LeMat-Bulk describes a geometry-optimized YRe2SnSe structure. The functional is PBEsol.

Geometry as POSCAR:
```
YRe2SnSe
1.0
-2.330 -1.489 4.004
-3.064 -2.596 -2.748
3.402 -4.384 0.349
Y Re Sn Se
1 2 1 1
Cartesian
0.000 0.000 0.000
-1.532 -1.298 -1.374
-1.165 -0.744 2.002
1.701 -2.192 0.175
-0.996 -4.235 0.803
```

For the energy relative to the elements, uncorrected, the calculation gives 2.523 eV per atom. As for the symmetry: No. 123. The calculation puts the calculated total energy at -29.0 eV per cell. The crystal system is tetragonal.